Entry 1:
DFT (GGA-PBE) results for a relaxed KTe2W crystal.

Values from the calculation:
E: -5.14 eV per atom
E above lowest polymorph: 0 meV per atom
DOS at the Fermi energy: 0.208 states/eV per atom
ΔE_f (raw): -5.0 kJ per mole of atoms

abc: 4.2790 4.2790 23.5855
angles: 90.00 90.00 120.00
Last column: nearest neighbours and their distance in Å.
Space group R-3m (No. 166, hexagonal axes)
Inequivalent atoms, fractional coordinates:
K  0.0000  0.0000  0.0000 [3 per cell]  6 Te 3.52
Te  0.0000  0.0000  0.2272 [6 per cell]  3 W 2.85
W  0.0000  0.0000  0.5000 [3 per cell]  6 Te 2.85

Entry 2:
DFT (GGA-PBE) results for a relaxed P2OsPb crystal.

Values from the calculation:
E: -5.51 eV per atom
formation energy from the elements: 0.933 eV/atom
DOS at the Fermi energy: 0.649 states/eV per atom

abc: 5.7875 7.3560 3.2511
angles: 90.00 90.00 90.00
Last column: nearest neighbours and their distance in Å.
Space group Cmmm (No. 65)
Inequivalent atoms, fractional coordinates:
P  0.2500  0.2500  0.0000 [4 per cell]  4 Pb 2.85, 4 Os 2.85, 2 P 2.89
Os  0.0000  0.0000  0.5000 [2 per cell]  8 P 2.85, 2 Pb 2.89
Pb  0.0000  0.5000  0.5000 [2 per cell]  8 P 2.85, 2 Os 2.89

Entry 3:
DFT (GGA-PBE) results for a relaxed Gd2InAu crystal.

Values from the calculation:
E: -9.03 eV per atom
formation energy from the elements: -0.490 eV/atom
E above lowest polymorph: 178 meV per atom
DOS at the Fermi energy: 0.857 states/eV per atom

abc: 3.8878 3.8878 26.1510
angles: 90.00 90.00 120.00
Last column: nearest neighbours and their distance in Å.
Space group R-3m (No. 166, hexagonal axes)
Inequivalent atoms, fractional coordinates:
Gd  0.0000  0.0000  0.2417 [6 per cell]  3 Au 2.98, 3 In 3.28
In  0.0000  0.0000  0.0000 [3 per cell]  6 Gd 3.28
Au  0.0000  0.0000  0.5000 [3 per cell]  6 Gd 2.98

Entry 4:
DFT (GGA-PBE) results for a relaxed NbGa2As crystal.

Values from the calculation:
E: -5.03 eV per atom
formation energy from the elements: 0.162 eV/atom
DOS at the Fermi energy: 0.916 states/eV per atom

abc: 7.4263 7.4263 5.3453
angles: 90.00 90.00 90.00
Last column: nearest neighbours and their distance in Å.
Space group I-42d (No. 122)
Inequivalent atoms, fractional coordinates:
Nb  0.0000  0.0000  0.0000 [4 per cell]  2 As 2.67, 4 Ga 2.77
Ga  0.2379  0.2500  0.6250 [8 per cell]  2 As 2.65, 2 Ga 2.68, 2 Nb 2.77
As  0.0000  0.0000  0.5000 [4 per cell]  4 Ga 2.65, 2 Nb 2.67

Entry 5:
DFT (GGA-PBE) results for a relaxed Tb3Co8Cu crystal.

Values from the calculation:
E: -6.35 eV per atom
formation energy from the elements: -0.111 eV/atom
DOS at the Fermi energy: 1.397 states/eV per atom

abc: 4.9943 4.9943 24.4622
angles: 90.00 90.00 120.00
Last column: nearest neighbours and their distance in Å.
Space group R3m (No. 160, hexagonal axes)
Inequivalent atoms, fractional coordinates:
Tb  0.0000  0.0000  0.0000 [3 per cell]  12 Co 2.78-2.96, 3 Cu 2.99
Tb  0.0000  0.0000  0.1293 [3 per cell]  12 Co 2.93-2.99, 4 Tb 3.14-3.16
Tb  0.0000  0.0000  0.5137 [3 per cell]  12 Co 2.84-3.17, 1 Cu 2.96, 3 Tb 3.14
Co  0.0000  0.0000  0.3166 [3 per cell]  6 Co 2.45-2.48
Co  0.0000  0.0000  0.8177 [3 per cell]  6 Co 2.53-2.54
Co  0.0016  0.5008  0.5694 [9 per cell]  6 Co 2.45-2.53
Co  0.1681  0.3362  0.3987 [9 per cell]  6 Co 2.48-2.54, 1 Cu 2.77
Cu  0.0000  0.0000  0.6349 [3 per cell]  12 Co 2.77-2.97, 4 Tb 2.96-2.99

Entry 6:
DFT (GGA-PBE) results for a relaxed TbHo3Pt crystal.

Values from the calculation:
E: -5.36 eV per atom
formation energy from the elements: -0.479 eV/atom
DOS at the Fermi energy: 1.319 states/eV per atom

abc: 6.3983 5.0960 8.7031
angles: 90.00 96.96 90.00
Last column: nearest neighbours and their distance in Å.
Space group P2_1/m (No. 11)
Inequivalent atoms, fractional coordinates:
Tb  0.1091  0.2500  0.2870 [2 per cell]  1 Pt 2.86
Ho  0.2272  0.2500  0.7391 [2 per cell]  2 Pt 2.98, 2 Tb 3.32
Ho  0.2865  0.7500  0.0576 [2 per cell]  1 Pt 2.73
Ho  0.3257  0.7500  0.4792 [2 per cell]  1 Pt 2.74
Pt  0.4677  0.7500  0.7890 [2 per cell]  4 Ho 2.73-2.98, 1 Tb 2.86